VASP calculation (GGA+U) on an optimized crystal structure of Pu2Mo2O7.

a b c (Å): 5.3143 5.3143 5.3736
angles (deg): 90.00 90.00 90.09
Last column: nearest neighbours and their distance in Å.
Sites, in units of the cell vectors:
Pu 0.2296 0.2296 0.0000  3 O 2.03-2.23
Pu 0.7704 0.7704 0.0000  3 O 2.03-2.23
Mo 0.2445 0.7555 0.5000  6 O 2.24-2.26
Mo 0.7555 0.2445 0.5000  6 O 2.24-2.26
O 0.0000 0.0000 0.2634  2 Pu 2.23, 2 Mo 2.24
O 0.0000 0.0000 0.7366  2 Pu 2.23, 2 Mo 2.24
O 0.0000 0.5000 0.2647  2 Mo 2.26, 2 Pu 2.36, 1 O 2.53
O 0.0000 0.5000 0.7353  2 Mo 2.26, 2 Pu 2.36, 1 O 2.53
O 0.5000 0.0000 0.2647  2 Mo 2.26, 2 Pu 2.36, 1 O 2.53
O 0.5000 0.0000 0.7353  2 Mo 2.26, 2 Pu 2.36, 1 O 2.53
O 0.5000 0.5000 0.0000  2 Pu 2.03

Values from the calculation:
- Raw total energy: -9.118 eV/atom